Entry 1:
! K2HfPb (GGA-PBE, relaxed); values from VASP
! M_tot = 0.0 μB per formula unit
! crystal system = tetragonal
! SG = I-42d, No. 122
! uncorrected energy = -12.87 eV/f.u.
! formation enthalpy at 0 K = 17.21 kcal/mol of atoms
&SYSTEM
  ibrav = 0, nat = 8, ntyp = 3
/
ATOMIC_SPECIES
Pb 207.20 Pb.upf
K 39.10 K.upf
Hf 178.49 Hf.upf
CELL_PARAMETERS angstrom
-5.523 -7.124 9.186
7.802 -9.811 -2.918
3.021 -7.525 4.997
ATOMIC_POSITIONS angstrom
Pb 0.000 0.000 0.000
Pb -0.681 -11.558 8.659
K -2.556 -8.637 8.015
K 0.253 -14.951 8.371
K 1.941 -10.511 6.539
K -2.362 -12.134 11.709
Hf 1.139 -8.468 3.134
Hf 5.981 -12.902 2.607

---

Entry 2:
! K2HfPb4 (GGA-PBE, relaxed); values from VASP
! M_tot = 0.0 μB per formula unit
! crystal system = tetragonal
! SG = I4/mmm, No. 139
! uncorrected energy = -26.09 eV/f.u.
! formation enthalpy at 0 K = 2.95 kcal/mol of atoms
&SYSTEM
  ibrav = 0, nat = 7, ntyp = 3
/
ATOMIC_SPECIES
Pb 207.20 Pb.upf
K 39.10 K.upf
Hf 178.49 Hf.upf
CELL_PARAMETERS angstrom
-2.069 -3.973 3.532
5.145 -2.450 0.258
3.623 1.901 8.866
ATOMIC_POSITIONS angstrom
Pb 3.741 -4.793 6.012
Pb 2.959 0.271 6.643
Pb 2.572 -1.225 0.129
Pb -1.034 -1.986 1.766
K 4.571 -2.757 8.788
K 2.128 -1.764 3.868
Hf 0.000 0.000 0.000

---

Entry 3:
! KHf2Pb (GGA-PBE, relaxed); values from VASP
! M_tot = 0.0 μB per formula unit
! crystal system = tetragonal
! SG = I-42d, No. 122
! uncorrected energy = -21.05 eV/f.u.
! formation enthalpy at 0 K = 21.10 kcal/mol of atoms
&SYSTEM
  ibrav = 0, nat = 8, ntyp = 3
/
ATOMIC_SPECIES
Pb 207.20 Pb.upf
K 39.10 K.upf
Hf 178.49 Hf.upf
CELL_PARAMETERS angstrom
4.529 0.000 0.000
0.000 4.529 0.000
2.264 2.264 11.036
ATOMIC_POSITIONS angstrom
Pb 0.000 0.000 0.000
Pb 4.529 2.264 5.518
K 2.264 2.264 0.000
K 2.264 4.529 5.518
Hf 3.529 1.132 2.759
Hf 1.000 3.397 2.759
Hf 3.397 3.264 8.277
Hf 5.661 5.793 8.277

---

Entry 4:
! K2Hf3PbS8 (GGA-PBE, relaxed); values from VASP
! M_tot = 0.0 μB per formula unit
! crystal system = trigonal
! SG = R3m, No. 160
! uncorrected energy = -87.79 eV/f.u.
! raw formation energy = -1.357 eV per atom
&SYSTEM
  ibrav = 0, nat = 14, ntyp = 4
/
ATOMIC_SPECIES
K 39.10 K.upf
Hf 178.49 Hf.upf
Pb 207.20 Pb.upf
S 32.06 S.upf
CELL_PARAMETERS angstrom
7.581 0.000 0.000
3.791 6.566 0.000
3.791 2.189 7.822
ATOMIC_POSITIONS angstrom
K 3.791 2.189 4.533
K 7.581 4.377 4.067
Hf 7.581 2.230 7.801
Hf 5.722 5.451 7.801
Hf 9.441 5.451 7.801
Pb 11.372 6.566 2.671
S 3.791 2.189 1.460
S 11.372 6.566 6.454
S 5.775 3.334 6.508
S 9.388 3.334 6.508
S 7.581 6.463 6.508
S 7.581 2.400 1.515
S 5.869 5.366 1.515
S 9.293 5.366 1.515

---

Entry 5:
! K3HfPb2S6 (GGA-PBE, relaxed); values from VASP
! M_tot = 0.0 μB per formula unit
! crystal system = monoclinic
! SG = C2/m, No. 12
! uncorrected energy = -58.34 eV/f.u.
! raw formation energy = -1.076 eV per atom
&SYSTEM
  ibrav = 0, nat = 12, ntyp = 4
/
ATOMIC_SPECIES
K 39.10 K.upf
Hf 178.49 Hf.upf
Pb 207.20 Pb.upf
S 32.06 S.upf
CELL_PARAMETERS angstrom
7.123 0.001 -0.004
-3.559 6.170 -0.004
-1.193 -2.066 7.305
ATOMIC_POSITIONS angstrom
K -2.297 4.064 3.648
K 4.668 0.041 3.648
K 1.185 2.053 3.648
Hf 0.000 0.000 0.000
Pb 0.013 4.107 -0.004
Pb 3.551 2.064 -0.004
S 3.433 2.267 5.818
S 2.508 4.342 1.482
S -1.062 1.838 1.479
S 0.248 4.107 5.818
S -0.137 -0.237 5.815
S 2.123 -0.002 1.479

---

Entry 6:
! K2HfScPb (GGA-PBE, relaxed); values from VASP
! M_tot = 3.0 μB per formula unit
! crystal system = tetragonal
! SG = P4/mmm, No. 123
! uncorrected energy = -16.26 eV/f.u.
! formation enthalpy at 0 K = 27.36 kcal/mol of atoms
&SYSTEM
  ibrav = 0, nat = 5, ntyp = 4
/
ATOMIC_SPECIES
Pb 207.20 Pb.upf
Sc 44.96 Sc.upf
K 39.10 K.upf
Hf 178.49 Hf.upf
CELL_PARAMETERS angstrom
-2.107 -3.234 -5.007
4.217 -3.733 0.636
-3.661 -3.489 3.794
ATOMIC_POSITIONS angstrom
Pb 0.000 0.000 0.000
Sc 2.109 -1.866 0.318
K -1.830 -1.745 1.897
K -1.053 -1.617 -2.504
Hf -0.775 -5.228 -0.289

---

Entry 7:
! K2HfPbSe4 (GGA-PBE, relaxed); values from VASP
! M_tot = 0.0 μB per formula unit
! crystal system = monoclinic
! SG = P2/m, No. 10
! uncorrected energy = -38.92 eV/f.u.
! raw formation energy = -1.141 eV per atom
&SYSTEM
  ibrav = 0, nat = 8, ntyp = 4
/
ATOMIC_SPECIES
K 39.10 K.upf
Hf 178.49 Hf.upf
Pb 207.20 Pb.upf
Se 78.96 Se.upf
CELL_PARAMETERS angstrom
4.133 0.000 0.000
0.000 7.921 -0.414
0.000 2.536 7.063
ATOMIC_POSITIONS angstrom
K 0.000 2.536 7.063
K 2.066 1.268 3.532
Hf 0.000 5.229 3.325
Pb 2.066 3.961 -0.207
Se 0.000 7.434 4.842
Se 4.133 3.024 1.808
Se 2.066 6.263 1.791
Se 2.066 4.194 4.858

---

Entry 8:
! KHfSn2Pb (GGA-PBE, relaxed); values from VASP
! M_tot = 0.0 μB per formula unit
! crystal system = tetragonal
! SG = P4/mmm, No. 123
! uncorrected energy = -15.16 eV/f.u.
! formation enthalpy at 0 K = 35.08 kcal/mol of atoms
&SYSTEM
  ibrav = 0, nat = 5, ntyp = 4
/
ATOMIC_SPECIES
Pb 207.20 Pb.upf
K 39.10 K.upf
Hf 178.49 Hf.upf
Sn 118.71 Sn.upf
CELL_PARAMETERS angstrom
-0.148 -5.216 -2.261
4.095 -1.454 3.086
-3.637 -1.651 4.048
ATOMIC_POSITIONS angstrom
Pb 0.155 -4.161 2.436
K 0.000 0.000 0.000
Hf 2.047 -0.727 1.543
Sn -1.818 -0.826 2.024
Sn -0.074 -2.608 -1.130

---

Entry 9:
! K2HfTcPb (GGA-PBE, relaxed); values from VASP
! M_tot = 1.1 μB per formula unit
! crystal system = tetragonal
! SG = P4/mmm, No. 123
! uncorrected energy = -20.69 eV/f.u.
! formation enthalpy at 0 K = 25.52 kcal/mol of atoms
&SYSTEM
  ibrav = 0, nat = 5, ntyp = 4
/
ATOMIC_SPECIES
Pb 207.20 Pb.upf
K 39.10 K.upf
Hf 178.49 Hf.upf
Tc 98.00 Tc.upf
CELL_PARAMETERS angstrom
6.160 0.000 0.000
0.000 4.828 0.000
0.000 0.000 6.160
ATOMIC_POSITIONS angstrom
Pb 3.080 2.414 3.080
K 0.000 0.000 3.080
K 3.080 0.000 0.000
Hf 0.000 2.414 0.000
Tc 0.000 0.000 0.000

---

Entry 10:
! K2HfTe4Pb (GGA-PBE, relaxed); values from VASP
! M_tot = 0.0 μB per formula unit
! crystal system = monoclinic
! SG = P2/m, No. 10
! uncorrected energy = -35.11 eV/f.u.
! raw formation energy = -0.836 eV per atom
&SYSTEM
  ibrav = 0, nat = 8, ntyp = 4
/
ATOMIC_SPECIES
K 39.10 K.upf
Hf 178.49 Hf.upf
Te 127.60 Te.upf
Pb 207.20 Pb.upf
CELL_PARAMETERS angstrom
4.412 0.000 0.000
0.000 7.963 0.263
0.000 -2.676 8.063
ATOMIC_POSITIONS angstrom
K 2.206 -1.338 4.032
K 0.000 2.644 4.163
Hf 2.206 3.982 0.131
Te 2.206 1.573 1.741
Te 2.206 3.714 6.585
Te 0.000 0.169 6.548
Te 0.000 5.119 1.778
Pb 0.000 0.000 0.000

---

Entry 11:
! KY2HfPb (GGA-PBE, relaxed); values from VASP
! M_tot = 0.0 μB per formula unit
! crystal system = tetragonal
! SG = P4/mmm, No. 123
! uncorrected energy = -23.97 eV/f.u.
! formation enthalpy at 0 K = 17.16 kcal/mol of atoms
&SYSTEM
  ibrav = 0, nat = 5, ntyp = 4
/
ATOMIC_SPECIES
Pb 207.20 Pb.upf
Y 88.91 Y.upf
K 39.10 K.upf
Hf 178.49 Hf.upf
CELL_PARAMETERS angstrom
-1.914 0.513 -6.199
-5.291 -2.655 1.414
-2.585 5.834 1.281
ATOMIC_POSITIONS angstrom
Pb -2.646 -1.327 0.707
Y -1.292 2.917 0.641
Y -0.957 0.257 -3.099
K -4.895 1.846 -1.752
Hf 0.000 0.000 0.000

---

Entry 12:
! K2HfZnPb (GGA-PBE, relaxed); values from VASP
! M_tot = 1.4 μB per formula unit
! crystal system = tetragonal
! SG = P4/mmm, No. 123
! uncorrected energy = -11.47 eV/f.u.
! formation enthalpy at 0 K = 26.12 kcal/mol of atoms
&SYSTEM
  ibrav = 0, nat = 5, ntyp = 4
/
ATOMIC_SPECIES
Pb 207.20 Pb.upf
Zn 65.41 Zn.upf
Hf 178.49 Hf.upf
K 39.10 K.upf
CELL_PARAMETERS angstrom
6.323 0.000 0.000
0.000 6.323 0.000
0.000 0.000 5.121
ATOMIC_POSITIONS angstrom
Pb 3.161 3.161 2.560
Zn 0.000 0.000 2.560
Hf 0.000 0.000 0.000
K 0.000 3.161 0.000
K 3.161 0.000 0.000

---

> Number 3 is which compound?

KHf2Pb

---

> M_tot of number 5 (K3HfPb2S6)?

0.0 μB per formula unit